5
Lattice="4.4511 0.0000 0.0000 0.0000 4.4511 0.0000 0.0000 0.0000 4.4511" Properties=species:S:1:pos:R:3 comment="CaMoF3 | Alexandria | PBE with a Hubbard U | optimized geometry" spacegroup=Pm-3m m_tot_mub_per_cell=5.0 vol_a3_per_atom=17.64 dft_energy_ev_per_atom=-5.30 pbc="T T T"
F 0.0000 2.2255 0.0000
F 0.0000 0.0000 2.2255
F 2.2255 0.0000 0.0000
Mo 2.2255 2.2255 2.2255
Ca 0.0000 0.0000 0.0000